A plane-wave DFT calculation with PBE+U was carried out for an optimized crystal structure of Rb2MnCF6.

Output
Fermi-level density of states in states/eV per cell: 0.00
Final energy in eV per cell: -190.32

```
data_Rb2MnCF6
_chemical_formula_sum 'Rb8 Mn4 C4 F24'
_symmetry_space_group_name_H-M 'F m -3 m'
_symmetry_Int_Tables_number 225
_symmetry_space_group_name_Hall '-F 4 2 3'
_cell_length_a 8.337
_cell_length_b 8.337
_cell_length_c 8.337
_cell_angle_alpha 90.00
_cell_angle_beta 90.00
_cell_angle_gamma 90.00
loop_
_atom_site_label
_atom_site_type_symbol
_atom_site_fract_x
_atom_site_fract_y
_atom_site_fract_z
Rb1 Rb 0.250 0.250 0.250
Mn1 Mn 0.000 0.000 0.000
C1 C 0.000 0.000 0.500
F1 F 0.000 0.000 0.257
```